Entry 1:
Dy8Ge5Au after structural relaxation, computed with PBE-GGA.

Cell lengths 7.6691, 7.6691, 7.6691 Å; angles 109.69, 109.04, 109.69 degrees
Atoms (fractional coordinates):
Dy 0.1273 0.7538 0.0120
Dy 0.9880 0.1154 0.7419
Dy 0.7498 0.2440 0.3665
Dy 0.6335 0.3834 0.8776
Dy 0.4942 0.6166 0.2502
Dy 0.6265 0.8846 0.8727
Dy 0.2581 0.2462 0.3735
Dy 0.1224 0.7560 0.5058
Ge 0.0046 0.3772 0.1275
Ge 0.8725 0.8771 0.2497
Ge 0.7503 0.6228 0.6273
Ge 0.5000 0.0000 0.5000
Ge 0.3727 0.1229 0.9954
Au 0.2500 0.5000 0.7500

Output
- Crystal system: tetragonal
- Total magnetization: 0.00 μB per formula unit
- E: -5.3223 eV per atom
- Energy relative to the elements: -809 meV/atom



Entry 2:
KCuIr2 after structural relaxation, computed with PBE-GGA.

Cell lengths 5.5556, 5.5556, 5.5556 Å; angles 139.94, 139.94, 57.94 degrees
Atoms (fractional coordinates):
Cu 0.7500 0.2500 0.5000
Ir 0.0000 0.0000 0.0000
Ir 0.5000 0.5000 0.0000
K 0.2500 0.7500 0.5000

Output
- Crystal system: tetragonal
- Total magnetization: 0.18 μB per formula unit
- E: -4.6394 eV per atom
- Energy relative to the elements: 1089 meV/atom